## one
The following is a PBE calculation of crystalline Tb4ScHg at its relaxed geometry, from the Alexandria database.

Structure (POSCAR):
```
Tb4ScHg
1.0
3.552 -0.001 0.000
0.001 3.552 0.000
-0.001 -0.001 13.691
Hg Tb Sc
1 4 1
Direct
0.500 0.500 0.500
0.000 0.000 0.351
0.000 0.000 0.649
0.500 0.500 0.833
0.500 0.500 0.167
0.000 0.000 0.000
```

* magnetic moment: 0.00 μB/atom
* N(E_F): 8.2 states/eV/f.u.
* space-group type: P4/mmm, No. 123

***

## two
The following is a PBE calculation of crystalline Tb4ScHg at its relaxed geometry, from the Alexandria database.

Structure (POSCAR):
```
Tb4ScHg
1.0
6.198 -0.720 0.000
-2.483 8.531 0.000
-1.857 -3.906 6.955
Tb Sc Hg
8 2 2
Direct
0.053 0.187 0.791
0.762 0.396 0.209
0.641 0.091 0.382
0.238 0.604 0.791
0.241 0.290 0.382
0.759 0.710 0.618
0.359 0.909 0.618
0.947 0.813 0.209
0.647 0.397 0.794
0.353 0.603 0.206
0.750 0.000 0.000
0.250 0.000 0.000
```

* magnetic moment: 0.00 μB/atom
* N(E_F): 9.8 states/eV/f.u.
* space-group type: C2/c, No. 15

***

one is preferred energetically. Next in line: 106 meV/atom higher.